MgTaN3 | PBE | relaxed

a = 4.033 Å, b = 4.033 Å, c = 4.033 Å
α = 90.00°, β = 90.00°, γ = 90.00°
Space group Pm-3m (No. 221)
Unique sites:
Mg 0.000 0.000 0.000 [1 per cell]
Ta 0.500 0.500 0.500 [1 per cell]
N 0.000 0.500 0.500 [3 per cell]

Size of the total moment = 0.00 μB/f.u.
ρ = 6.3 g cm⁻³
Energy relative to the elements, uncorrected = 0.0116 eV/atom

HfTc2SnI | PBE | relaxed

a = 4.840 Å, b = 4.840 Å, c = 5.202 Å
α = 90.00°, β = 90.00°, γ = 90.00°
Space group P4/mmm (No. 123)
Unique sites:
Hf 0.000 0.000 0.000 [1 per cell]
Tc 0.000 0.500 0.500 [2 per cell]
Sn 0.500 0.500 0.000 [1 per cell]
I 0.000 0.000 0.500 [1 per cell]

Size of the total moment = 1.49 μB/f.u.
ρ = 8.5 g cm⁻³
Energy relative to the elements, uncorrected = 1.4882 eV/atom

UAl2GaNi4 | PBE | relaxed

a = 4.0569 Å, b = 4.0569 Å, c = 24.1094 Å
α = 90.00°, β = 90.00°, γ = 120.00°
Space group R-3m (No. 166, hexagonal axes)
Unique sites:
U 0.0000 0.0000 0.0000 [3 per cell]
Al 0.0000 0.0000 0.2398 [6 per cell]
Ga 0.0000 0.0000 0.5000 [3 per cell]
Ni 0.0000 0.0000 0.1303 [6 per cell]
Ni 0.0000 0.0000 0.3984 [6 per cell]

Size of the total moment = 2.00 μB/f.u.
ρ = 8.6 g cm⁻³
Energy of formation = -0.359 eV per atom